The following is a GGA-PBE calculation of crystalline Ho3MgSc4 at its relaxed geometry, from the Alexandria database.

The space group is Pmn2_1 (No. 31) and the conventional cell measures 10.724, 6.827 and 5.822 Å, with angles of 90.00, 90.00 and 90.00 degrees. Symmetry generates all atoms from Ho at (0.000, 0.134, 0.000), Ho at (0.246, 0.130, 0.354), Mg at (0.000, 0.866, 0.505), Sc at (0.000, 0.389, 0.524), Sc at (0.000, 0.617, 0.012) and Sc at (0.247, 0.620, 0.354).

As for the density: 5446 kg/m3. The calculation puts the formation enthalpy at 0 K at 14.9 meV/atom.